The following is a DFT calculation (PBE) of an optimized crystal structure of CePm8Er5.

Lattice parameters (Å, degrees): 8.4971 8.4971 8.4971 111.83 104.84 111.83
Each line ends with the local moment (μB).
Fractional coordinates of all 14 atoms:
Er1 0.5000 0.0000 0.5000  0.03
Er2 0.0370 0.3146 0.1317  0.01
Er3 0.8171 0.6854 0.7223  0.01
Er4 0.8683 0.9053 0.1829  0.01
Er5 0.2777 0.0947 0.9630  0.01
Pm1 0.5320 0.6044 0.2772  0.01
Pm2 0.1667 0.7297 0.0658  -0.05
Pm3 0.0724 0.7452 0.4680  0.01
Pm4 0.7228 0.2548 0.3272  0.01
Pm5 0.3360 0.2703 0.4369  -0.05
Pm6 0.9342 0.1009 0.6640  -0.05
Pm7 0.5631 0.8991 0.8333  -0.05
Pm8 0.6728 0.3956 0.9276  0.01
Ce1 0.2500 0.5000 0.7500  -0.91

Results
- Fermi-level density of states (states/eV/f.u.) = 25.877
- space group = I-4, No. 82
- ΔH_f (0 K) (eV per atom) = 0.258